Density functional theory data (GGA-PBE) for BaAcNO after structural relaxation.

Unit cell a=3.9346 b=3.9346 c=6.8704 alpha=73.36 beta=73.36 gamma=60.00
Last column: nearest neighbours and their distance in Å.
Sites, in units of the cell vectors:
Ba1 0.4977 0.4977 0.5070  3 O 2.83, 3 N 2.97
Ac1 0.9951 0.9951 0.0146  3 N 2.61, 3 O 2.78
N1 0.2628 0.2628 0.2117  3 Ac 2.61
O1 0.7444 0.7444 0.7667  3 Ac 2.78, 3 Ba 2.83

Calculated values
For the energy, the calculation gives -6.584 eV per atom. Its space group is R3m. Its energy relative to the elements, uncorrected is -1.756 eV per atom. For the size of the total moment, the calculation gives 0.00 μB/cell.

Density functional theory data (GGA-PBE) for BaAcOs2N4 after structural relaxation.

Unit cell a=6.6246 b=6.3035 c=6.3035 alpha=67.32 beta=58.30 gamma=58.30
Last column: nearest neighbours and their distance in Å.
Sites, in units of the cell vectors:
Ba1 0.0000 0.0000 0.0000  4 N 2.79
Ac1 0.5000 0.5000 0.5000  4 N 2.63
Os1 0.1486 0.3514 0.3514  2 N 1.78
Os2 0.8514 0.6486 0.6486  2 N 1.78
N1 0.4746 0.2032 0.3229  1 Os 1.78
N2 0.0008 0.7968 0.6771  1 Os 1.78
N3 0.9992 0.3229 0.2032  1 Os 1.78
N4 0.5254 0.6771 0.7968  1 Os 1.78

Calculated values
For the energy, the calculation gives -7.837 eV per atom. As for the density of states at the Fermi level: 3.78 states/eV/cell. Its space group is I222. Its energy relative to the elements, uncorrected is -0.113 eV per atom. For the size of the total moment, the calculation gives 0.84 μB/cell.

Density functional theory data (GGA-PBE) for BaAc2Os2N6 after structural relaxation.

Unit cell a=5.9378 b=5.9378 c=7.7590 alpha=67.50 beta=67.50 gamma=60.00
Last column: nearest neighbours and their distance in Å.
Sites, in units of the cell vectors:
Ba1 0.0000 0.0000 0.0000  6 N 2.78
Ac1 0.7949 0.7949 0.6152  9 N 2.69-3.01
Ac2 0.2051 0.2051 0.3848  9 N 2.69-3.01
Os1 0.4151 0.4151 0.7547  3 N 1.80
Os2 0.5849 0.5849 0.2453  3 N 1.80
N1 0.7296 0.7296 0.3152  1 Os 1.80
N2 0.2255 0.7296 0.3152  1 Os 1.80
N3 0.7296 0.2255 0.3152  1 Os 1.80
N4 0.2704 0.7745 0.6848  1 Os 1.80
N5 0.7745 0.2704 0.6848  1 Os 1.80
N6 0.2704 0.2704 0.6848  1 Os 1.80

Calculated values
For the energy, the calculation gives -7.872 eV per atom. As for the density of states at the Fermi level: 8.21 states/eV/cell. Its space group is R-3m. Its energy relative to the elements, uncorrected is -0.368 eV per atom. For the size of the total moment, the calculation gives 0.00 μB/cell.

Question: The highest energy relative to the elements, uncorrected belongs to which entry?
Answer: BaAcOs2N4

Question: Which of these has the highest size of the total moment?
Answer: BaAcOs2N4

Question: What is the energy in the third record?
Answer: -7.872 eV per atom